Rb2FeRuCl6: optimized geometry, PBE.

Summary:
E_form (uncorrected) (meV/atom): -992
E (eV per atom): -4.067

a b c (Å): 7.262 7.262 6.859
angles (deg): 58.04 58.04 90.00
Element x y z (fractional)
Cl (0.240, 0.240, 0.000)
Rb (0.750, 0.250, 0.500)
Cl (0.743, 0.743, 0.514)
Cl (0.760, 0.760, 0.000)
Ru (0.000, 0.000, 0.000)
Cl (0.257, 0.257, 0.486)
Cl (0.240, 0.760, 0.000)
Cl (0.760, 0.240, 0.000)
Fe (0.500, 0.500, 0.000)
Rb (0.250, 0.750, 0.500)